Compound: TcAg3O
Source: the Alexandria database
Functional: meta-GGA SCAN
Structure: PBEsol geometry

- SG: Pm-3m
- Uncorrected formation energy: 1936 meV/atom

Geometry as CIF:
```
data_TcAg3O
_cell_length_a 4.989
_cell_length_b 4.989
_cell_length_c 4.989
_cell_angle_alpha 90.00
_cell_angle_beta 90.00
_cell_angle_gamma 90.00
_symmetry_space_group_name_H-M 'P 1'
_symmetry_Int_Tables_number 1
loop_
_symmetry_equiv_pos_as_xyz
'x,y,z'
loop_
_atom_site_label
_atom_site_type_symbol
_atom_site_fract_x
_atom_site_fract_y
_atom_site_fract_z
_atom_site_occupancy
Tc1 Tc 0.000 0.000 0.000 1
Ag1 Ag 0.500 0.000 0.000 1
Ag2 Ag 0.000 0.500 0.000 1
Ag3 Ag 0.000 0.000 0.500 1
O1 O 0.500 0.500 0.500 1
```